1.
LiYInAg | PBE-GGA | optimized geometry

Lattice parameters (Å, degrees): 6.962 6.962 6.962 90.00 90.00 90.00
Space group F-43m (No. 216)
Unique sites:
Li1 0.000 0.000 0.000 x4
Y1 0.250 0.250 0.250 x4
In1 0.000 0.000 0.500 x4
Ag1 0.250 0.250 0.750 x4

Output
Total moment (Bohr magnetons per cell): 0.00

***

2.
LiYInAg | PBE-GGA | optimized geometry

Lattice parameters (Å, degrees): 7.101 7.101 7.101 90.00 90.00 90.00
Space group F-43m (No. 216)
Unique sites:
Li1 0.000 0.000 0.000 x4
Y1 0.250 0.250 0.250 x4
In1 0.250 0.250 0.750 x4
Ag1 0.000 0.000 0.500 x4

Output
Total moment (Bohr magnetons per cell): 0.00

***

3.
Li4Zn2InAg | PBE-GGA | optimized geometry

Lattice parameters (Å, degrees): 4.460 4.460 6.320 90.00 90.00 90.00
Space group P-4m2 (No. 115)
Unique sites:
Li1 0.000 0.000 0.000 x1
Li2 0.000 0.500 0.236 x2
Li3 0.500 0.500 0.500 x1
Zn1 0.000 0.500 0.761 x2
In1 0.000 0.000 0.500 x1
Ag1 0.500 0.500 0.000 x1

***

4.
Li4ZnIn2Ag | PBE-GGA | optimized geometry

Lattice parameters (Å, degrees): 4.585 4.585 6.491 90.00 90.00 90.00
Space group P-4m2 (No. 115)
Unique sites:
Li1 0.000 0.000 0.000 x1
Li2 0.000 0.500 0.249 x2
Li3 0.500 0.500 0.500 x1
Zn1 0.500 0.500 0.000 x1
In1 0.000 0.500 0.756 x2
Ag1 0.000 0.000 0.500 x1

***

5.
Li4ZnInAg2 | PBE-GGA | optimized geometry

Lattice parameters (Å, degrees): 4.504 4.504 6.400 90.00 90.00 90.00
Space group P-4m2 (No. 115)
Unique sites:
Li1 0.000 0.000 0.000 x1
Li2 0.000 0.500 0.230 x2
Li3 0.500 0.500 0.500 x1
Zn1 0.500 0.500 0.000 x1
In1 0.000 0.000 0.500 x1
Ag1 0.000 0.500 0.766 x2

***

6.
LuInAg2 | PBE-GGA | optimized geometry

Lattice parameters (Å, degrees): 6.908 6.908 6.908 90.00 90.00 90.00
Space group F-43m (No. 216)
Unique sites:
Lu1 0.000 0.000 0.000 x4
In1 0.250 0.250 0.750 x4
Ag1 0.000 0.000 0.500 x4
Ag2 0.250 0.250 0.250 x4

Output
Total moment (Bohr magnetons per cell): 0.00

***

| no. | energy (Ry/atom) |
| --- | --- |
| 1 | -0.278 |
| 2 | -0.284 |
| 3 | -0.162 |
| 4 | -0.179 |
| 5 | -0.177 |
| 6 | -0.254 |